# GGA-PBE K2BaTc, relaxed
data_K2BaTc
_symmetry_space_group_name_H-M 'P 1'
_symmetry_Int_Tables_number 1
_symmetry_space_group_name_Hall 'P 1'
_cell_length_a 13.674
_cell_length_b 13.674
_cell_length_c 13.674
_cell_angle_alpha 16.86
_cell_angle_beta 16.86
_cell_angle_gamma 16.86
loop_
_atom_site_label
_atom_site_type_symbol
_atom_site_fract_x
_atom_site_fract_y
_atom_site_fract_z
_atom_site_occupancy
K1 K 0.233 0.233 0.233 1
K2 K 0.767 0.767 0.767 1
Ba1 Ba 0.000 0.000 0.000 1
Tc1 Tc 0.500 0.500 0.500 1
# Volume: 46.9 Å³ per atom
# Mass density: 2.776 Mg/m³
# Electronic total energy: -2.376 eV per atom

# GGA-PBE NaAc3La2Te6, relaxed
data_NaAc3La2Te6
_symmetry_space_group_name_H-M 'P 1'
_symmetry_Int_Tables_number 1
_symmetry_space_group_name_Hall 'P 1'
_cell_length_a 10.423
_cell_length_b 10.423
_cell_length_c 9.319
_cell_angle_alpha 102.38
_cell_angle_beta 102.38
_cell_angle_gamma 25.87
loop_
_atom_site_label
_atom_site_type_symbol
_atom_site_fract_x
_atom_site_fract_y
_atom_site_fract_z
_atom_site_occupancy
Na1 Na 0.000 0.000 0.000 1
Ac1 Ac 0.000 0.000 0.500 1
Ac2 Ac 0.335 0.335 0.169 1
Ac3 Ac 0.665 0.665 0.831 1
La1 La 0.331 0.331 0.660 1
La2 La 0.669 0.669 0.340 1
Te1 Te 0.164 0.164 0.089 1
Te2 Te 0.167 0.167 0.580 1
Te3 Te 0.496 0.496 0.757 1
Te4 Te 0.504 0.504 0.243 1
Te5 Te 0.833 0.833 0.420 1
Te6 Te 0.836 0.836 0.911 1
# Volume: 35.9 Å³ per atom
# E_form (uncorrected): -1494 meV per atom
# Mass density: 6.735 Mg/m³
# Electronic total energy: -5.023 eV per atom

# GGA-PBE Sm2HoEr3S6, relaxed
data_Sm2HoEr3S6
_symmetry_space_group_name_H-M 'P 1'
_symmetry_Int_Tables_number 1
_symmetry_space_group_name_Hall 'P 1'
_cell_length_a 8.759
_cell_length_b 8.759
_cell_length_c 7.883
_cell_angle_alpha 103.45
_cell_angle_beta 103.45
_cell_angle_gamma 25.71
loop_
_atom_site_label
_atom_site_type_symbol
_atom_site_fract_x
_atom_site_fract_y
_atom_site_fract_z
_atom_site_occupancy
Sm1 Sm 0.167 0.167 0.335 1
Sm2 Sm 0.833 0.833 0.665 1
Ho1 Ho 0.500 0.500 0.000 1
Er1 Er 0.168 0.168 0.833 1
Er2 Er 0.500 0.500 0.500 1
Er3 Er 0.832 0.832 0.167 1
S1 S 0.003 0.003 0.751 1
S2 S 0.334 0.334 0.926 1
S3 S 0.337 0.337 0.409 1
S4 S 0.663 0.663 0.591 1
S5 S 0.666 0.666 0.074 1
S6 S 0.997 0.997 0.249 1
# Volume: 21.2 Å³ per atom
# E_form (uncorrected): -1982 meV per atom
# Mass density: 7.558 Mg/m³
# Electronic total energy: -6.355 eV per atom

# GGA-PBE TbSmEr3, relaxed
data_TbSmEr3
_symmetry_space_group_name_H-M 'P 1'
_symmetry_Int_Tables_number 1
_symmetry_space_group_name_Hall 'P 1'
_cell_length_a 3.593
_cell_length_b 11.497
_cell_length_c 8.529
_cell_angle_alpha 90.00
_cell_angle_beta 102.13
_cell_angle_gamma 90.00
loop_
_atom_site_label
_atom_site_type_symbol
_atom_site_fract_x
_atom_site_fract_y
_atom_site_fract_z
_atom_site_occupancy
Tb1 Tb 0.188 0.250 0.376 1
Tb2 Tb 0.812 0.750 0.624 1
Sm1 Sm 0.487 0.750 0.971 1
Sm2 Sm 0.513 0.250 0.029 1
Er1 Er 0.153 0.750 0.304 1
Er2 Er 0.342 0.001 0.685 1
Er3 Er 0.342 0.499 0.685 1
Er4 Er 0.658 0.501 0.315 1
Er5 Er 0.658 0.999 0.315 1
Er6 Er 0.847 0.250 0.696 1
# Volume: 34.4 Å³ per atom
# Mass density: 7.819 Mg/m³
# Electronic total energy: -4.299 eV per atom

# GGA-PBE Tb2Nd2Er4Tm, relaxed
data_Tb2Nd2Er4Tm
_symmetry_space_group_name_H-M 'P 1'
_symmetry_Int_Tables_number 1
_symmetry_space_group_name_Hall 'P 1'
_cell_length_a 9.472
_cell_length_b 9.472
_cell_length_c 9.530
_cell_angle_alpha 115.21
_cell_angle_beta 115.21
_cell_angle_gamma 21.82
loop_
_atom_site_label
_atom_site_type_symbol
_atom_site_fract_x
_atom_site_fract_y
_atom_site_fract_z
_atom_site_occupancy
Tb1 Tb 0.147 0.147 0.162 1
Tb2 Tb 0.853 0.853 0.838 1
Nd1 Nd 0.335 0.335 0.500 1
Nd2 Nd 0.665 0.665 0.500 1
Er1 Er 0.185 0.185 0.836 1
Er2 Er 0.480 0.480 0.166 1
Er3 Er 0.520 0.520 0.834 1
Er4 Er 0.815 0.815 0.164 1
Tm1 Tm 0.000 0.000 0.500 1
# Volume: 31.8 Å³ per atom
# Mass density: 8.374 Mg/m³
# Electronic total energy: -4.614 eV per atom

# GGA-PBE CaCdSe2N, relaxed
data_CaCdSe2N
_symmetry_space_group_name_H-M 'P 1'
_symmetry_Int_Tables_number 1
_symmetry_space_group_name_Hall 'P 1'
_cell_length_a 5.454
_cell_length_b 5.454
_cell_length_c 4.301
_cell_angle_alpha 90.00
_cell_angle_beta 90.00
_cell_angle_gamma 90.00
loop_
_atom_site_label
_atom_site_type_symbol
_atom_site_fract_x
_atom_site_fract_y
_atom_site_fract_z
_atom_site_occupancy
Ca1 Ca 0.000 0.000 0.000 1
Cd1 Cd 0.500 0.500 0.500 1
Se1 Se 0.000 0.500 0.000 1
Se2 Se 0.500 0.000 0.000 1
N1 N 0.000 0.000 0.500 1
# Volume: 25.6 Å³ per atom
# E_form (uncorrected): 510 meV per atom
# Mass density: 4.210 Mg/m³
# Electronic total energy: -3.132 eV per atom

# GGA-PBE Rb2PN, relaxed
data_Rb2PN
_symmetry_space_group_name_H-M 'P 1'
_symmetry_Int_Tables_number 1
_symmetry_space_group_name_Hall 'P 1'
_cell_length_a 5.655
_cell_length_b 5.655
_cell_length_c 5.655
_cell_angle_alpha 60.00
_cell_angle_beta 60.00
_cell_angle_gamma 60.00
loop_
_atom_site_label
_atom_site_type_symbol
_atom_site_fract_x
_atom_site_fract_y
_atom_site_fract_z
_atom_site_occupancy
Rb1 Rb 0.250 0.250 0.250 1
Rb2 Rb 0.750 0.750 0.750 1
P1 P 0.000 0.000 0.000 1
N1 N 0.500 0.500 0.500 1
# Volume: 32.0 Å³ per atom
# E_form (uncorrected): 1028 meV per atom
# Mass density: 2.803 Mg/m³
# Electronic total energy: -2.889 eV per atom

# GGA-PBE W2Se, relaxed
data_W2Se
_symmetry_space_group_name_H-M 'P 1'
_symmetry_Int_Tables_number 1
_symmetry_space_group_name_Hall 'P 1'
_cell_length_a 7.349
_cell_length_b 7.349
_cell_length_c 4.438
_cell_angle_alpha 90.00
_cell_angle_beta 90.00
_cell_angle_gamma 155.75
loop_
_atom_site_label
_atom_site_type_symbol
_atom_site_fract_x
_atom_site_fract_y
_atom_site_fract_z
_atom_site_occupancy
W1 W 0.107 0.893 0.750 1
W2 W 0.227 0.773 0.250 1
W3 W 0.773 0.227 0.750 1
W4 W 0.893 0.107 0.250 1
Se1 Se 0.422 0.578 0.750 1
Se2 Se 0.578 0.422 0.250 1
# Volume: 16.4 Å³ per atom
# E_form (uncorrected): 363 meV per atom
# Mass density: 15.066 Mg/m³
# Electronic total energy: -9.434 eV per atom

Q: Which value of electronic total energy does entry 6 give?
A: -3.132 eV per atom